The following is a DFT calculation (GGA-PBE) of a relaxed TaPtW crystal.

Values from the calculation:
For the energy relative to the lowest polymorph listed for this composition, the calculation gives 474 meV/atom. As for the spin magnetization: 0.0 μB per formula unit. For the raw total energy, the calculation gives -181.85 eV/cell. Its density of states at the Fermi level is 10.94 states/eV per cell. Its energy of formation is 0.54 eV per formula unit.

Cell lengths 4.4015, 4.4015, 19.5774 Å; angles 90.00, 90.00, 120.00 degrees
With the nearest neighbours (Å) after each atom.
Space group R-3m (No. 166, hexagonal axes)
Asymmetric unit:
Ta  0.0000  0.0000  0.0701  4 W 2.56-2.82, 3 Pt 2.65, 1 Ta 2.74
Pt  0.0000  0.0000  0.3647  3 Ta 2.65, 3 Pt 2.82
W  0.0000  0.0000  0.2010  4 Ta 2.56-2.82


The following is a DFT calculation (GGA-PBE) of a relaxed Ta2PtW crystal.

Values from the calculation:
As for the spin magnetization: 0.0 μB per formula unit. For the raw total energy, the calculation gives -161.80 eV/cell. Its density of states at the Fermi level is 6.21 states/eV per cell. Its energy of formation is 2.25 eV per formula unit.

Cell lengths 3.9439, 3.9439, 19.0192 Å; angles 90.00, 90.00, 90.00 degrees
With the nearest neighbours (Å) after each atom.
Space group I-42d (No. 122)
Asymmetric unit:
Ta  0.2456  0.2500  0.1250  2 W 2.75, 2 Pt 2.76, 4 Ta 2.76-2.81
Pt  0.0000  0.0000  0.5000  4 Ta 2.76, 4 W 2.79
W  0.0000  0.0000  0.0000  4 Ta 2.75, 4 Pt 2.79


The following is a DFT calculation (GGA-PBE) of a relaxed TaPt2W crystal.

Values from the calculation:
As for the spin magnetization: 0.0 μB per formula unit. For the raw total energy, the calculation gives -38.59 eV/cell. Its density of states at the Fermi level is 3.14 states/eV per cell. Its energy of formation is -1.70 eV per formula unit.

Cell lengths 2.7932, 4.1234, 5.5613 Å; angles 90.00, 90.00, 90.00 degrees
With the nearest neighbours (Å) after each atom.
Space group Pmmm (No. 47)
Asymmetric unit:
Ta  0.0000  0.0000  0.0000  2 W 2.78, 2 Ta 2.79, 8 Pt 2.86
Pt  0.5000  0.5000  0.2536  4 Pt 2.74-2.82, 4 W 2.84, 4 Ta 2.86
W  0.0000  0.0000  0.5000  2 Ta 2.78, 2 W 2.79, 8 Pt 2.84


The following is a DFT calculation (GGA-PBE) of a relaxed TaPtW2 crystal.

Values from the calculation:
For the energy relative to the lowest polymorph listed for this composition, the calculation gives 332 meV/atom. As for the spin magnetization: 0.0 μB per formula unit. For the raw total energy, the calculation gives -172.51 eV/cell. Its density of states at the Fermi level is 19.40 states/eV per cell. Its energy of formation is 0.67 eV per formula unit.

Cell lengths 6.4191, 6.4191, 6.4191 Å; angles 90.00, 90.00, 90.00 degrees
With the nearest neighbours (Å) after each atom.
Space group Fm-3m (No. 225)
Asymmetric unit:
Ta  0.0000  0.0000  0.0000  8 W 2.78
Pt  0.0000  0.0000  0.5000  8 W 2.78
W  0.2500  0.2500  0.2500  4 Pt 2.78, 4 Ta 2.78